Entry 1:
# PBE-GGA Zr5Ni2Pt, relaxed
data_Zr5Ni2Pt
_chemical_formula_sum 'Zr20 Ni8 Pt4'
_cell_length_a 6.6727
_cell_length_b 6.6727
_cell_length_c 13.6797
_cell_angle_alpha 90.00
_cell_angle_beta 90.00
_cell_angle_gamma 90.00
_space_group_name_H-M_alt 'I 4/m c m'
_space_group_IT_number 140
_space_group_name_Hall '-I 4 2c'
loop_
_atom_site_label
_atom_site_type_symbol
_atom_site_fract_x
_atom_site_fract_y
_atom_site_fract_z
Zr1 Zr 0.0000 0.0000 0.0000
Zr2 Zr 0.1648 0.3352 0.1491
Ni1 Ni 0.1292 0.3708 0.5000
Pt1 Pt 0.0000 0.0000 0.2500
# E = -64.24 eV per formula unit
# Formation enthalpy at 0 K = -0.49 eV/atom

Entry 2:
# PBE-GGA In2IrPtAu, relaxed
data_In2IrPtAu
_chemical_formula_sum 'In2 Ir1 Pt1 Au1'
_cell_length_a 5.0169
_cell_length_b 5.0169
_cell_length_c 5.0866
_cell_angle_alpha 90.00
_cell_angle_beta 90.00
_cell_angle_gamma 90.00
_space_group_name_H-M_alt 'P 4/m m m'
_space_group_IT_number 123
_space_group_name_Hall '-P 4 2'
loop_
_atom_site_label
_atom_site_type_symbol
_atom_site_fract_x
_atom_site_fract_y
_atom_site_fract_z
In1 In 0.0000 0.5000 0.0000
Ir1 Ir 0.0000 0.0000 0.5000
Pt1 Pt 0.5000 0.5000 0.0000
Au1 Au 0.5000 0.5000 0.5000
# E = -19.31 eV per formula unit
# Formation enthalpy at 0 K = 0.87 eV/atom

Entry 3:
# PBE-GGA TaNb4Rh, relaxed
data_TaNb4Rh
_chemical_formula_sum 'Ta4 Nb16 Rh4'
_cell_length_a 7.2903
_cell_length_b 12.3381
_cell_length_c 5.3505
_cell_angle_alpha 90.00
_cell_angle_beta 115.09
_cell_angle_gamma 90.00
_space_group_name_H-M_alt 'C 1 2/c 1'
_space_group_IT_number 15
_space_group_name_Hall '-C 2yc'
loop_
_atom_site_label
_atom_site_type_symbol
_atom_site_fract_x
_atom_site_fract_y
_atom_site_fract_z
Ta1 Ta 0.0000 0.0846 0.2500
Nb1 Nb 0.1016 0.2979 0.5482
Nb2 Nb 0.2112 0.1154 0.8834
Rh1 Rh 0.0000 0.4883 0.2500
# E = -58.96 eV per formula unit
# Formation enthalpy at 0 K = 0.09 eV/atom

Repeat the third record exactly.
# PBE-GGA TaNb4Rh, relaxed
data_TaNb4Rh
_chemical_formula_sum 'Ta4 Nb16 Rh4'
_cell_length_a 7.2903
_cell_length_b 12.3381
_cell_length_c 5.3505
_cell_angle_alpha 90.00
_cell_angle_beta 115.09
_cell_angle_gamma 90.00
_space_group_name_H-M_alt 'C 1 2/c 1'
_space_group_IT_number 15
_space_group_name_Hall '-C 2yc'
loop_
_atom_site_label
_atom_site_type_symbol
_atom_site_fract_x
_atom_site_fract_y
_atom_site_fract_z
Ta1 Ta 0.0000 0.0846 0.2500
Nb1 Nb 0.1016 0.2979 0.5482
Nb2 Nb 0.2112 0.1154 0.8834
Rh1 Rh 0.0000 0.4883 0.2500
# E = -58.96 eV per formula unit
# Formation enthalpy at 0 K = 0.09 eV/atom

Copy entry 3 word for word.
# PBE-GGA TaNb4Rh, relaxed
data_TaNb4Rh
_chemical_formula_sum 'Ta4 Nb16 Rh4'
_cell_length_a 7.2903
_cell_length_b 12.3381
_cell_length_c 5.3505
_cell_angle_alpha 90.00
_cell_angle_beta 115.09
_cell_angle_gamma 90.00
_space_group_name_H-M_alt 'C 1 2/c 1'
_space_group_IT_number 15
_space_group_name_Hall '-C 2yc'
loop_
_atom_site_label
_atom_site_type_symbol
_atom_site_fract_x
_atom_site_fract_y
_atom_site_fract_z
Ta1 Ta 0.0000 0.0846 0.2500
Nb1 Nb 0.1016 0.2979 0.5482
Nb2 Nb 0.2112 0.1154 0.8834
Rh1 Rh 0.0000 0.4883 0.2500
# E = -58.96 eV per formula unit
# Formation enthalpy at 0 K = 0.09 eV/atom

What is the formula in the first record? Zr5Ni2Pt